Fe3O2F4 | PBE with a Hubbard U | relaxed

The structure in CIF format:
```
data_Fe3O2F4
_chemical_formula_sum 'Fe12 O8 F16'
_symmetry_space_group_name_H-M 'C 1 2 1'
_symmetry_Int_Tables_number 5
_cell_length_a 9.276
_cell_length_b 6.765
_cell_length_c 7.529
_cell_angle_alpha 90.00
_cell_angle_beta 112.77
_cell_angle_gamma 90.00
loop_
_symmetry_equiv_pos_as_xyz
'x,y,z'
'-x,y,-z'
'x+1/2,y+1/2,z'
'-x+1/2,y+1/2,-z'
loop_
_atom_site_label
_atom_site_type_symbol
_atom_site_fract_x
_atom_site_fract_y
_atom_site_fract_z
Fe1 Fe 0.000 0.000 0.000
Fe2 Fe 0.000 0.003 0.500
Fe3 Fe 0.169 0.538 0.185
Fe4 Fe 0.188 0.502 0.655
O1 O 0.175 0.818 0.172
O2 O 0.234 0.012 0.541
F1 F 0.000 0.322 0.500
F2 F 0.000 0.691 0.500
F3 F 0.064 0.513 0.873
F4 F 0.111 0.017 0.810
F5 F 0.176 0.221 0.173
```

Calculated values
Energy above the lowest structure with this stoichiometry, meV per atom: 19